## BaCaSn (GGA-PBEsol)

Data for a geometry-optimized BaCaSn structure.

Lattice parameters (Å, degrees): 8.756 5.233 9.581 90.00 90.00 90.00
Fractional positions:
Ba1 0.021 0.250 0.181
Ba2 0.479 0.750 0.681
Ba3 0.521 0.250 0.319
Ba4 0.979 0.750 0.819
Ca1 0.145 0.250 0.572
Ca2 0.355 0.750 0.072
Ca3 0.645 0.250 0.928
Ca4 0.855 0.750 0.428
Sn1 0.225 0.750 0.391
Sn2 0.275 0.250 0.891
Sn3 0.725 0.750 0.109
Sn4 0.775 0.250 0.609

Total energy (eV/cell): -42.56
ΔE_f (eV/atom): -0.699
Total moment (μB/f.u.): 0.00
SG: Pnma (62)

## TaTl2In (GGA-PBEsol)

Data for a geometry-optimized TaTl2In structure.

Lattice parameters (Å, degrees): 3.311 4.226 6.251 90.00 90.00 90.00
Fractional positions:
Ta1 0.000 0.000 0.000
Tl1 0.500 0.500 0.239
Tl2 0.500 0.500 0.761
In1 0.000 0.000 0.500

Total energy (eV/cell): -18.82
ΔE_f (eV/atom): 0.494
Polymorph energy (0 for the lowest one) (meV per atom): 77
Total moment (μB/f.u.): 0.00
SG: Pmmm (47)

## KCd2Se (GGA-PBEsol)

Data for a geometry-optimized KCd2Se structure.

Lattice parameters (Å, degrees): 8.271 8.271 8.271 30.10 30.10 30.10
Fractional positions:
K1 0.000 0.000 0.000
Cd1 0.226 0.226 0.226
Cd2 0.774 0.774 0.774
Se1 0.500 0.500 0.500

Formation energy from raw total energies (eV/atom): -0.137
Total energy (eV/cell): -7.92
Total moment (μB/f.u.): 0.00
SG: R-3m (166)

## IrPtS2N (GGA-PBEsol)

Data for a geometry-optimized IrPtS2N structure.

Lattice parameters (Å, degrees): 4.776 4.776 3.533 90.00 90.00 90.00
Fractional positions:
Ir1 0.000 0.000 0.000
Pt1 0.500 0.500 0.500
S1 0.000 0.500 0.500
S2 0.500 0.000 0.500
N1 0.500 0.500 0.000

Formation energy from raw total energies (eV/atom): 1.211
Total energy (eV/cell): -28.02
Total moment (μB/f.u.): 0.00
SG: P4/mmm (123)

## KTiRe3 (GGA-PBEsol)

Data for a geometry-optimized KTiRe3 structure.

Lattice parameters (Å, degrees): 4.663 4.663 4.663 90.00 90.00 90.00
Fractional positions:
K1 0.000 0.000 0.000
Ti1 0.500 0.500 0.500
Re1 0.000 0.500 0.500
Re2 0.500 0.000 0.500
Re3 0.500 0.500 0.000

Total energy (eV/cell): -38.31
ΔE_f (eV/atom): 2.229
Total moment (μB/f.u.): 1.17
SG: Pm-3m (221)

## SrBe2Pt (GGA-PBEsol)

Data for a geometry-optimized SrBe2Pt structure.

Lattice parameters (Å, degrees): 4.693 4.693 2.915 90.00 90.00 104.13
Fractional positions:
Sr1 0.000 0.000 0.000
Be1 0.000 0.500 0.500
Be2 0.500 0.000 0.500
Pt1 0.500 0.500 0.000

Total energy (eV/cell): -14.73
ΔE_f (eV/atom): 0.518
Polymorph energy (0 for the lowest one) (meV per atom): 996
Total moment (μB/f.u.): 0.00
SG: Cmmm (65)

## Ti4FeP6O24 (GGA-PBEsol)

Data for a geometry-optimized Ti4FeP6O24 structure.

Lattice parameters (Å, degrees): 8.408 8.408 8.408 61.65 61.65 61.65
Fractional positions:
Ti1 0.130 0.130 0.130
Ti2 0.357 0.357 0.357
Ti3 0.643 0.643 0.643
Ti4 0.870 0.870 0.870
Fe1 0.500 0.500 0.500
P1 0.043 0.748 0.470
P2 0.252 0.530 0.957
P3 0.470 0.043 0.748
P4 0.530 0.957 0.252
P5 0.748 0.470 0.043
P6 0.957 0.252 0.530
O1 0.001 0.810 0.632
O2 0.060 0.904 0.275
O3 0.096 0.725 0.940
O4 0.117 0.322 0.488
O5 0.190 0.368 0.999
O6 0.239 0.582 0.455
O7 0.275 0.060 0.904
O8 0.322 0.488 0.117
O9 0.368 0.999 0.190
O10 0.418 0.545 0.761
O11 0.455 0.239 0.582
O12 0.488 0.117 0.322
O13 0.512 0.883 0.678
O14 0.545 0.761 0.418
O15 0.582 0.455 0.239
O16 0.632 0.001 0.810
O17 0.678 0.512 0.883
O18 0.725 0.940 0.096
O19 0.761 0.418 0.545
O20 0.810 0.632 0.001
O21 0.883 0.678 0.512
O22 0.904 0.275 0.060
O23 0.940 0.096 0.725
O24 0.999 0.190 0.368

Formation energy from raw total energies (eV/atom): -2.465
Total energy (eV/cell): -289.24
Polymorph energy (0 for the lowest one) (meV per atom): 3
Total moment (μB/f.u.): 4.00
SG: R-3 (148)

## Lu3Si13Os4 (GGA-PBEsol)

Data for a geometry-optimized Lu3Si13Os4 structure.

Lattice parameters (Å, degrees): 8.674 8.674 8.674 90.00 90.00 90.00
Fractional positions:
Lu1 0.000 0.250 0.500
Lu2 0.000 0.750 0.500
Lu3 0.250 0.500 0.000
Lu4 0.500 0.000 0.250
Lu5 0.500 0.000 0.750
Lu6 0.750 0.500 0.000
Si1 0.000 0.000 0.000
Si2 0.000 0.285 0.139
Si3 0.000 0.285 0.861
Si4 0.000 0.715 0.139
Si5 0.000 0.715 0.861
Si6 0.139 0.000 0.285
Si7 0.139 0.000 0.715
Si8 0.215 0.500 0.361
Si9 0.215 0.500 0.639
Si10 0.285 0.139 0.000
Si11 0.285 0.861 0.000
Si12 0.361 0.215 0.500
Si13 0.361 0.785 0.500
Si14 0.500 0.361 0.215
Si15 0.500 0.361 0.785
Si16 0.500 0.500 0.500
Si17 0.500 0.639 0.215
Si18 0.500 0.639 0.785
Si19 0.639 0.215 0.500
Si20 0.639 0.785 0.500
Si21 0.715 0.139 0.000
Si22 0.715 0.861 0.000
Si23 0.785 0.500 0.361
Si24 0.785 0.500 0.639
Si25 0.861 0.000 0.285
Si26 0.861 0.000 0.715
Os1 0.250 0.250 0.250
Os2 0.250 0.250 0.750
Os3 0.250 0.750 0.250
Os4 0.250 0.750 0.750
Os5 0.750 0.250 0.250
Os6 0.750 0.250 0.750
Os7 0.750 0.750 0.250
Os8 0.750 0.750 0.750

Formation energy from raw total energies (eV/atom): -0.517
Total energy (eV/cell): -297.06
Total moment (μB/f.u.): 0.00
SG: Pm-3n (223)

## AlSb2Se2Cl4 (GGA-PBEsol)

Data for a geometry-optimized AlSb2Se2Cl4 structure.

Lattice parameters (Å, degrees): 9.251 11.143 11.844 66.85 78.13 72.48
Fractional positions:
Al1 0.111 0.187 0.472
Al2 0.193 0.687 0.953
Al3 0.807 0.313 0.047
Al4 0.889 0.813 0.528
Sb1 0.290 0.564 0.490
Sb2 0.343 0.983 0.933
Sb3 0.435 0.142 0.676
Sb4 0.440 0.377 0.828
Sb5 0.560 0.623 0.172
Sb6 0.565 0.858 0.324
Sb7 0.657 0.017 0.067
Sb8 0.710 0.436 0.510
Se1 0.235 0.349 0.719
Se2 0.347 0.791 0.262
Se3 0.373 0.153 0.031
Se4 0.488 0.607 0.592
Se5 0.512 0.393 0.408
Se6 0.627 0.847 0.969
Se7 0.653 0.209 0.738
Se8 0.765 0.651 0.281
Cl1 0.006 0.851 0.964
Cl2 0.110 0.813 0.560
Cl3 0.111 0.395 0.425
Cl4 0.134 0.087 0.667
Cl5 0.134 0.564 0.876
Cl6 0.266 0.564 0.133
Cl7 0.293 0.102 0.361
Cl8 0.386 0.759 0.836
Cl9 0.614 0.241 0.164
Cl10 0.707 0.898 0.639
Cl11 0.734 0.436 0.867
Cl12 0.866 0.436 0.124
Cl13 0.866 0.913 0.333
Cl14 0.889 0.605 0.575
Cl15 0.890 0.187 0.440
Cl16 0.994 0.149 0.036

Formation energy from raw total energies (eV/atom): -0.894
Total energy (eV/cell): -147.92
Total moment (μB/f.u.): 0.00
SG: P-1 (2)

## MgNiIr (GGA-PBEsol)

Data for a geometry-optimized MgNiIr structure.

Lattice parameters (Å, degrees): 4.232 4.232 2.589 90.00 90.00 120.00
Fractional positions:
Mg1 0.000 0.000 0.000
Ni1 0.333 0.667 0.050
Ir1 0.667 0.333 0.528

Total energy (eV/cell): -17.57
ΔE_f (eV/atom): 0.042
Total moment (μB/f.u.): 0.02
SG: P3m1 (156)

## SrNb3Cd (GGA-PBEsol)

Data for a geometry-optimized SrNb3Cd structure.

Lattice parameters (Å, degrees): 4.827 4.827 4.827 90.00 90.00 90.00
Fractional positions:
Sr1 0.000 0.000 0.000
Nb1 0.000 0.000 0.500
Nb2 0.000 0.500 0.000
Nb3 0.500 0.000 0.000
Cd1 0.500 0.500 0.500

Total energy (eV/cell): -23.71
ΔE_f (eV/atom): 2.358
Total moment (μB/f.u.): 0.00
SG: Pm-3m (221)

## LiY2Cr (GGA-PBEsol)

Data for a geometry-optimized LiY2Cr structure.

Lattice parameters (Å, degrees): 3.422 3.422 7.922 90.00 90.00 90.00
Fractional positions:
Li1 0.000 0.000 0.000
Y1 0.500 0.500 0.285
Y2 0.500 0.500 0.715
Cr1 0.000 0.000 0.500

Total energy (eV/cell): -24.77
ΔE_f (eV/atom): 0.271
Total moment (μB/f.u.): 2.28
SG: P4/mmm (123)

## Be4SeCl (GGA-PBEsol)

Data for a geometry-optimized Be4SeCl structure.

Lattice parameters (Å, degrees): 4.731 4.731 4.731 60.00 60.00 60.00
Fractional positions:
Be1 0.123 0.123 0.123
Be2 0.123 0.123 0.630
Be3 0.123 0.630 0.123
Be4 0.630 0.123 0.123
Se1 0.750 0.750 0.750
Cl1 0.500 0.500 0.500

Formation energy from raw total energies (eV/atom): 0.546
Total energy (eV/cell): -18.58
Total moment (μB/f.u.): 0.00
SG: F-43m (216)

## CsZn2ReAu (GGA-PBEsol)

Data for a geometry-optimized CsZn2ReAu structure.

Lattice parameters (Å, degrees): 6.354 6.354 6.777 90.00 90.00 90.00
Fractional positions:
Cs1 0.000 0.000 0.000
Zn1 0.000 0.500 0.000
Zn2 0.500 0.000 0.000
Re1 0.000 0.000 0.500
Au1 0.500 0.500 0.500

Total energy (eV/cell): -8.34
ΔE_f (eV/atom): 2.605
Total moment (μB/f.u.): 5.00
SG: P4/mmm (123)

## LaP2Pt (GGA-PBEsol)

Data for a geometry-optimized LaP2Pt structure.

Lattice parameters (Å, degrees): 6.285 6.285 6.285 146.25 146.16 48.54
Fractional positions:
La1 0.000 0.000 0.000
P1 0.613 0.613 0.000
P2 0.798 0.298 0.500
Pt1 0.249 0.749 0.500

Total energy (eV/cell): -26.59
ΔE_f (eV/atom): -0.673
Polymorph energy (0 for the lowest one) (meV per atom): 0
Total moment (μB/f.u.): 0.00
SG: Imm2 (44)

## Be2ZnIr2 (GGA-PBEsol)

Data for a geometry-optimized Be2ZnIr2 structure.

Lattice parameters (Å, degrees): 6.238 6.238 2.881 90.00 90.00 90.00
Fractional positions:
Be1 0.127 0.373 0.000
Be2 0.373 0.873 0.000
Be3 0.627 0.127 0.000
Be4 0.873 0.627 0.000
Zn1 0.000 0.000 0.000
Zn2 0.500 0.500 0.000
Ir1 0.165 0.665 0.500
Ir2 0.335 0.165 0.500
Ir3 0.665 0.835 0.500
Ir4 0.835 0.335 0.500

Total energy (eV/cell): -62.73
ΔE_f (eV/atom): -0.427
Total moment (μB/f.u.): 0.00
SG: P4/mbm (127)

## Be2ZnCrSb (GGA-PBEsol)

Data for a geometry-optimized Be2ZnCrSb structure.

Lattice parameters (Å, degrees): 4.225 4.225 4.569 90.00 90.00 90.00
Fractional positions:
Be1 0.000 0.500 0.000
Be2 0.500 0.000 0.000
Zn1 0.000 0.000 0.500
Cr1 0.000 0.000 0.000
Sb1 0.500 0.500 0.500

Formation energy from raw total energies (eV/atom): 1.117
Total energy (eV/cell): -18.80
Total moment (μB/f.u.): 0.00
SG: P4/mmm (123)

## HfScTiMn2 (GGA-PBEsol)

Data for a geometry-optimized HfScTiMn2 structure.

Lattice parameters (Å, degrees): 4.579 4.579 4.974 90.00 90.00 90.00
Fractional positions:
Hf1 0.000 0.000 0.000
Sc1 0.000 0.000 0.500
Ti1 0.500 0.500 0.500
Mn1 0.000 0.500 0.000
Mn2 0.500 0.000 0.000

Total energy (eV/cell): -38.03
ΔE_f (eV/atom): 1.384
Total moment (μB/f.u.): 6.78
SG: P4/mmm (123)

## MgSbAs2 (GGA-PBEsol)

Data for a geometry-optimized MgSbAs2 structure.

Lattice parameters (Å, degrees): 3.782 3.949 6.195 90.00 90.00 90.00
Fractional positions:
Mg1 0.000 0.000 0.000
Sb1 0.500 0.500 0.450
As1 0.000 0.000 0.556
As2 0.500 0.500 0.032

Formation energy from raw total energies (eV/atom): -0.169
Total energy (eV/cell): -17.16
Polymorph energy (0 for the lowest one) (meV per atom): 0
Total moment (μB/f.u.): 0.00
SG: Pmm2 (25)

## BiP4HO12 (GGA-PBEsol)

Data for a geometry-optimized BiP4HO12 structure.

Lattice parameters (Å, degrees): 7.158 8.642 8.867 99.49 111.95 106.51
Fractional positions:
Bi1 0.092 0.265 0.259
Bi2 0.908 0.735 0.741
P1 0.075 0.382 0.657
P2 0.205 0.187 0.891
P3 0.387 0.709 0.422
P4 0.424 0.867 0.155
P5 0.576 0.133 0.845
P6 0.613 0.291 0.578
P7 0.795 0.813 0.109
P8 0.925 0.618 0.343
H1 0.498 0.863 0.741
H2 0.502 0.137 0.259
O1 0.048 0.024 0.753
O2 0.106 0.565 0.696
O3 0.163 0.346 0.839
O4 0.172 0.312 0.552
O5 0.180 0.738 0.430
O6 0.189 0.791 0.034
O7 0.233 0.208 0.069
O8 0.327 0.537 0.309
O9 0.443 0.233 0.394
O10 0.447 0.228 0.905
O11 0.453 0.942 0.808
O12 0.468 0.851 0.341
O13 0.532 0.149 0.659
O14 0.547 0.058 0.192
O15 0.553 0.772 0.095
O16 0.557 0.767 0.606
O17 0.673 0.463 0.691
O18 0.767 0.792 0.931
O19 0.811 0.209 0.966
O20 0.820 0.262 0.570
O21 0.828 0.688 0.448
O22 0.837 0.654 0.161
O23 0.894 0.435 0.304
O24 0.952 0.976 0.247

Total energy (eV/cell): -258.35
Total moment (μB/f.u.): 0.00
SG: P-1 (2)

## CoMo3Pt (GGA-PBEsol)

Data for a geometry-optimized CoMo3Pt structure.

Lattice parameters (Å, degrees): 4.673 4.673 4.673 90.00 90.00 90.00
Fractional positions:
Co1 0.000 0.000 0.000
Mo1 0.000 0.500 0.500
Mo2 0.500 0.000 0.500
Mo3 0.500 0.500 0.000
Pt1 0.500 0.500 0.500

Total energy (eV/cell): -38.86
ΔE_f (eV/atom): 2.230
Total moment (μB/f.u.): 1.75
SG: Pm-3m (221)